w) PmBIr2 | PBE | optimized geometry

Lattice parameters (Å, degrees): 3.987 3.987 8.616 90.00 90.00 90.00
Element x y z (fractional)
Ir 0.500 0.500 0.500
Ir 0.500 0.000 0.853
B 0.500 0.000 0.609
B 0.000 0.500 0.391
Pm 0.000 0.500 0.791
Ir 0.000 0.500 0.147
Pm 0.500 0.000 0.209
Ir 0.000 0.000 0.500

ρ: 13.1 g/cm³
size of the total moment: 0.00 μB per formula unit
calculated volume: 17.1 A^3/atom
space-group type: P4/nmm

=====

x) PmBIr2 | PBE | optimized geometry

Lattice parameters (Å, degrees): 3.854 3.854 5.861 70.81 70.81 60.00
Element x y z (fractional)
B 0.500 0.500 0.500
Ir 0.793 0.793 0.621
Ir 0.207 0.207 0.379
Pm 0.000 0.000 0.000

ρ: 12.9 g/cm³
size of the total moment: 0.00 μB per formula unit
calculated volume: 17.4 A^3/atom
space-group type: R-3m

=====

y) PmBIr2 | PBE | optimized geometry

Lattice parameters (Å, degrees): 2.896 2.896 7.214 90.00 90.00 90.00
Element x y z (fractional)
Ir 0.000 0.000 0.819
Pm 0.500 0.500 0.500
B 0.500 0.500 0.000
Ir 0.000 0.000 0.181

ρ: 14.8 g/cm³
size of the total moment: 0.00 μB per formula unit
calculated volume: 15.1 A^3/atom
space-group type: P4/mmm

=====

Energies relative to the minimum, meV per atom: w) 0; x) 287; y) 519

=====

w) PmB3Ir3 | PBE | optimized geometry

Lattice parameters (Å, degrees): 3.663 7.785 7.785 120.00 90.00 90.00
Element x y z (fractional)
Pm 0.250 0.667 0.333
Ir 0.250 0.065 0.331
Ir 0.750 0.331 0.265
B 0.750 0.619 0.567
Ir 0.250 0.265 0.935
B 0.750 0.948 0.381
Ir 0.750 0.935 0.669
Ir 0.750 0.735 0.065
B 0.250 0.052 0.619
B 0.250 0.381 0.433
B 0.750 0.433 0.052
Ir 0.250 0.669 0.735
Pm 0.750 0.333 0.667
B 0.250 0.567 0.948

ρ: 13.0 g/cm³
size of the total moment: 0.00 μB per formula unit
calculated volume: 13.7 A^3/atom
space-group type: P6_3/m

=====

x) PmB3Ir3 | PBE | optimized geometry

Lattice parameters (Å, degrees): 8.187 7.389 6.736 90.01 90.00 102.29
Element x y z (fractional)
Ir 0.303 0.164 0.204
B 0.598 0.853 0.490
B 0.784 0.563 0.022
Ir 0.166 0.811 0.290
Ir 0.778 0.326 0.817
Pm 0.351 0.510 0.453
Ir 0.512 0.473 0.025
Pm 0.562 0.925 0.047
Ir 0.988 0.527 0.525
Ir 0.197 0.836 0.704
B 0.558 0.282 0.230
B 0.293 0.072 0.502
Ir 0.931 0.852 0.006
B 0.942 0.718 0.730
B 0.546 0.394 0.724
Ir 0.333 0.189 0.789
Pm 0.938 0.075 0.548
Pm 0.149 0.490 0.953
Ir 0.684 0.679 0.717
B 0.394 0.874 0.473
Ir 0.721 0.674 0.317
Ir 0.569 0.148 0.506
B 0.207 0.928 0.002
B 0.954 0.606 0.224
B 0.716 0.437 0.522
Ir 0.817 0.321 0.217
B 0.106 0.126 0.973
B 0.902 0.147 0.990

ρ: 12.6 g/cm³
size of the total moment: 0.00 μB per formula unit
calculated volume: 14.2 A^3/atom
space-group type: P2_1

=====

Energies relative to the minimum, meV per atom: w) 53; x) 0

=====

w) PrB2Ir | PBE | optimized geometry

Lattice parameters (Å, degrees): 3.304 6.488 5.567 90.00 90.00 94.72
Element x y z (fractional)
B 0.748 0.516 0.904
Pr 0.707 0.162 0.250
B 0.252 0.484 0.404
Ir 0.782 0.674 0.250
B 0.748 0.516 0.596
B 0.252 0.484 0.096
Pr 0.293 0.838 0.750
Ir 0.218 0.326 0.750

ρ: 9.9 g/cm³
size of the total moment: 0.00 μB per formula unit
calculated volume: 14.9 A^3/atom
space-group type: P2_1/m

=====

x) PrB2Ir | PBE | optimized geometry

Lattice parameters (Å, degrees): 3.719 3.719 5.406 69.88 69.88 60.00
Element x y z (fractional)
B 0.699 0.699 0.902
Ir 0.000 0.000 0.000
B 0.301 0.301 0.098
Pr 0.500 0.500 0.500

ρ: 9.9 g/cm³
size of the total moment: 0.00 μB per formula unit
calculated volume: 14.9 A^3/atom
space-group type: R-3m

=====

Energies relative to the minimum, meV per atom: w) 0; x) 149

=====

w) PrB4Ir4 | PBE | optimized geometry

Lattice parameters (Å, degrees): 5.445 5.445 7.569 90.00 90.00 90.00
Element x y z (fractional)
Ir 0.000 0.249 0.359
Ir 0.749 0.500 0.859
B 0.672 0.000 0.342
B 0.172 0.500 0.158
B 0.000 0.328 0.658
Ir 0.249 0.000 0.641
B 0.500 0.828 0.842
Ir 0.000 0.751 0.359
B 0.000 0.672 0.658
B 0.828 0.500 0.158
Pr 0.000 0.000 0.000
Ir 0.251 0.500 0.859
Ir 0.751 0.000 0.641
B 0.328 0.000 0.342
Ir 0.500 0.251 0.141
Pr 0.500 0.500 0.500
B 0.500 0.172 0.842
Ir 0.500 0.749 0.141

ρ: 14.1 g/cm³
size of the total moment: 0.00 μB per formula unit
calculated volume: 12.5 A^3/atom
space-group type: P4_2/nmc

=====

x) PrB4Ir4 | PBE | optimized geometry

Lattice parameters (Å, degrees): 7.724 7.724 3.991 90.00 90.00 90.00
Element x y z (fractional)
Ir 0.159 0.609 0.108
Ir 0.841 0.391 0.108
Ir 0.659 0.109 0.392
Ir 0.109 0.341 0.608
B 0.779 0.658 0.108
B 0.158 0.721 0.608
Ir 0.609 0.841 0.892
B 0.279 0.158 0.392
B 0.342 0.779 0.892
B 0.658 0.221 0.892
Pr 0.000 0.000 0.000
B 0.221 0.342 0.108
Ir 0.891 0.659 0.608
Ir 0.391 0.159 0.892
Pr 0.500 0.500 0.500
Ir 0.341 0.891 0.392
B 0.721 0.842 0.392
B 0.842 0.279 0.608

ρ: 13.3 g/cm³
size of the total moment: 0.00 μB per formula unit
calculated volume: 13.2 A^3/atom
space-group type: P4_2/n

=====

Energies relative to the minimum, meV per atom: w) 96; x) 0

=====

w) B3IrPt | PBE | optimized geometry

Lattice parameters (Å, degrees): 4.069 4.069 4.069 90.00 90.00 90.00
Element x y z (fractional)
Ir 0.000 0.000 0.000
B 0.000 0.000 0.500
B 0.500 0.000 0.000
Pt 0.500 0.500 0.500
B 0.000 0.500 0.000

ρ: 10.3 g/cm³
size of the total moment: 0.00 μB per formula unit
calculated volume: 13.5 A^3/atom
space-group type: Pm-3m

=====

x) B3IrPt | PBE | optimized geometry

Lattice parameters (Å, degrees): 4.056 4.056 4.056 90.00 90.00 90.00
Site moments in Bohr magnetons follow the coordinates.
Element x y z (fractional)
Ir 0.500 0.500 0.500  0.78
B 0.500 0.000 0.000  0.03
B 0.000 0.000 0.500  0.11
B 0.000 0.500 0.000  0.04
Pt 0.000 0.000 0.000  0.07

ρ: 10.4 g/cm³
size of the total moment: 1.08 μB per formula unit
calculated volume: 13.3 A^3/atom
space-group type: Pm-3m

=====

Energies relative to the minimum, meV per atom: w) 0; x) 430

=====

w) B2IrPt2 | PBE | optimized geometry

Lattice parameters (Å, degrees): 5.716 5.716 3.590 90.00 90.00 90.00
Element x y z (fractional)
B 0.615 0.115 0.000
B 0.885 0.615 0.000
B 0.385 0.885 0.000
B 0.115 0.385 0.000
Ir 0.500 0.500 0.000
Ir 0.000 0.000 0.000
Pt 0.313 0.187 0.500
Pt 0.813 0.313 0.500
Pt 0.687 0.813 0.500
Pt 0.187 0.687 0.500

ρ: 17.1 g/cm³
size of the total moment: 0.00 μB per formula unit
calculated volume: 11.7 A^3/atom
space-group type: P4/mbm

=====

x) B2IrPt2 | PBE | optimized geometry

Lattice parameters (Å, degrees): 3.580 5.638 7.665 123.36 103.51 90.00
Element x y z (fractional)
Pt 0.565 0.383 0.130
Pt 0.435 0.617 0.870
Pt 0.097 0.996 0.195
B 0.617 0.816 0.235
Ir 0.774 0.241 0.548
Pt 0.903 0.004 0.805
Ir 0.226 0.759 0.452
B 0.383 0.184 0.765
B 0.254 0.429 0.509
B 0.746 0.571 0.491

ρ: 16.2 g/cm³
size of the total moment: 0.00 μB per formula unit
calculated volume: 12.4 A^3/atom
space-group type: C2/m

=====

Energies relative to the minimum, meV per atom: w) 344; x) 0

=====

w) BIr3Pt | PBE | optimized geometry

Lattice parameters (Å, degrees): 4.806 4.806 4.806 90.00 90.00 90.00
Site moments in Bohr magnetons follow the coordinates.
Element x y z (fractional)
Ir 0.500 0.000 0.000  0.34
Pt 0.000 0.000 0.000  0.43
Ir 0.000 0.500 0.000  0.51
Ir 0.000 0.000 0.500  0.97
B 0.500 0.500 0.500  -0.04

ρ: 11.7 g/cm³
size of the total moment: 2.17 μB per formula unit
calculated volume: 22.2 A^3/atom
space-group type: Pm-3m

=====

x) BIr3Pt | PBE | optimized geometry

Lattice parameters (Å, degrees): 4.116 4.116 4.116 90.00 90.00 90.00
Element x y z (fractional)
B 0.000 0.000 0.000
Pt 0.500 0.500 0.500
Ir 0.000 0.000 0.500
Ir 0.500 0.000 0.000
Ir 0.000 0.500 0.000

ρ: 18.6 g/cm³
size of the total moment: 0.00 μB per formula unit
calculated volume: 13.9 A^3/atom
space-group type: Pm-3m

=====

Energies relative to the minimum, meV per atom: w) 2603; x) 0

=====

w) PuBIr2 | PBE | optimized geometry

Lattice parameters (Å, degrees): 3.791 3.791 5.663 70.44 70.44 60.00
Site moments in Bohr magnetons follow the coordinates.
Element x y z (fractional)
Ir 0.214 0.214 0.357  -0.27
Pu 0.000 0.000 0.000  4.78
B 0.500 0.500 0.500  0.02
Ir 0.786 0.786 0.643  -0.27

ρ: 16.3 g/cm³
size of the total moment: 4.41 μB per formula unit
calculated volume: 16.3 A^3/atom
space-group type: R-3m

=====

x) PuBIr2 | PBE | optimized geometry

Lattice parameters (Å, degrees): 3.698 5.201 6.728 90.00 90.00 110.82
Site moments in Bohr magnetons follow the coordinates.
Element x y z (fractional)
B 0.777 0.553 0.750  0.01
B 0.223 0.447 0.250  0.01
Pu 0.940 0.880 0.250  4.61
Ir 0.348 0.695 0.550  -0.29
Pu 0.060 0.120 0.750  4.61
Ir 0.652 0.305 0.050  -0.29
Ir 0.652 0.305 0.450  -0.29
Ir 0.348 0.695 0.950  -0.29

ρ: 17.6 g/cm³
size of the total moment: 4.18 μB per formula unit
calculated volume: 15.1 A^3/atom
space-group type: Cmcm

=====

Energies relative to the minimum, meV per atom: w) 121; x) 0

=====

w) PuBIr | PBE | optimized geometry

Lattice parameters (Å, degrees): 4.191 3.720 3.720 120.00 90.00 90.00
Site moments in Bohr magnetons follow the coordinates.
Element x y z (fractional)
B 0.167 0.667 0.333  0.01
Pu 0.667 0.333 0.667  5.18
Ir 0.167 0.000 0.000  0.02

ρ: 14.8 g/cm³
size of the total moment: 5.52 μB per formula unit
calculated volume: 16.7 A^3/atom
space-group type: P-6m2

=====

x) PuBIr | PBE | optimized geometry

Lattice parameters (Å, degrees): 6.223 5.070 6.550 71.74 90.00 90.00
Site moments in Bohr magnetons follow the coordinates.
Element x y z (fractional)
Ir 0.894 0.745 0.565  -0.07
Pu 0.892 0.706 0.100  5.10
B 0.348 0.396 0.214  0.00
B 0.652 0.604 0.786  0.00
Pu 0.108 0.294 0.900  5.10
Pu 0.608 0.206 0.600  5.10
Pu 0.392 0.794 0.400  5.10
Ir 0.394 0.755 0.935  -0.07
B 0.152 0.896 0.714  0.00
B 0.848 0.104 0.286  0.00
Ir 0.606 0.245 0.065  -0.07
Ir 0.106 0.255 0.435  -0.07

ρ: 15.1 g/cm³
size of the total moment: 5.26 μB per formula unit
calculated volume: 16.4 A^3/atom
space-group type: P2_1/c

=====

y) PuBIr | PBE | optimized geometry

Lattice parameters (Å, degrees): 3.948 6.684 6.789 90.00 90.00 90.00
Site moments in Bohr magnetons follow the coordinates.
Element x y z (fractional)
B 0.750 0.884 0.811  -0.03
Ir 0.250 0.422 0.362  -0.18
Pu 0.750 0.345 0.014  4.71
Ir 0.250 0.078 0.862  -0.18
Pu 0.250 0.845 0.486  4.71
B 0.750 0.616 0.311  -0.03
B 0.250 0.384 0.689  -0.03
Pu 0.250 0.655 0.986  4.71
B 0.250 0.116 0.189  -0.03
Pu 0.750 0.155 0.514  4.71
Ir 0.750 0.922 0.138  -0.18
Ir 0.750 0.578 0.638  -0.18

ρ: 16.6 g/cm³
size of the total moment: 4.56 μB per formula unit
calculated volume: 14.9 A^3/atom
space-group type: Pnma

=====

Energies relative to the minimum, meV per atom: w) 10; x) 0; y) 117

=====

w) RbB3Ir | PBE | optimized geometry

Lattice parameters (Å, degrees): 4.218 4.218 4.218 90.00 90.00 90.00
Element x y z (fractional)
Rb 0.000 0.000 0.000
B 0.000 0.000 0.500
Ir 0.500 0.500 0.500
B 0.500 0.000 0.000
B 0.000 0.500 0.000

ρ: 6.9 g/cm³
size of the total moment: 0.00 μB per formula unit
calculated volume: 15.0 A^3/atom
space-group type: Pm-3m

=====

x) RbB3Ir | PBE | optimized geometry

Lattice parameters (Å, degrees): 4.222 4.222 4.222 90.00 90.00 90.00
Element x y z (fractional)
Rb 0.500 0.500 0.500
B 0.000 0.500 0.000
Ir 0.000 0.000 0.000
B 0.500 0.000 0.000
B 0.000 0.000 0.500

ρ: 6.8 g/cm³
size of the total moment: 0.00 μB per formula unit
calculated volume: 15.0 A^3/atom
space-group type: Pm-3m

=====

Energies relative to the minimum, meV per atom: w) 3134; x) 0

=====

w) RbBIr3 | PBE | optimized geometry

Lattice parameters (Å, degrees): 4.326 4.326 4.326 90.00 90.00 90.00
Element x y z (fractional)
Ir 0.000 0.500 0.000
Rb 0.500 0.500 0.500
Ir 0.000 0.000 0.500
B 0.000 0.000 0.000
Ir 0.500 0.000 0.000

ρ: 13.8 g/cm³
size of the total moment: 0.00 μB per formula unit
calculated volume: 16.2 A^3/atom
space-group type: Pm-3m

=====

x) RbBIr3 | PBE | optimized geometry

Lattice parameters (Å, degrees): 4.925 4.925 4.925 90.00 90.00 90.00
Site moments in Bohr magnetons follow the coordinates.
Element x y z (fractional)
B 0.500 0.500 0.500  -0.05
Ir 0.000 0.000 0.500  0.77
Ir 0.500 0.000 0.000  0.87
Ir 0.000 0.500 0.000  1.05
Rb 0.000 0.000 0.000  0.00

ρ: 9.4 g/cm³
size of the total moment: 2.57 μB per formula unit
calculated volume: 23.9 A^3/atom
space-group type: Pm-3m

=====

Energies relative to the minimum, meV per atom: w) 0; x) 3375